# 1
# Zn2FeRu, optimized geometry, DFT GGA-PBE
data_Zn2FeRu
_symmetry_space_group_name_H-M 'P 1'
_symmetry_Int_Tables_number 1
_symmetry_space_group_name_Hall 'P 1'
_cell_length_a 4.541
_cell_length_b 4.541
_cell_length_c 4.541
_cell_angle_alpha 129.88
_cell_angle_beta 129.88
_cell_angle_gamma 73.59
loop_
_atom_site_label
_atom_site_type_symbol
_atom_site_fract_x
_atom_site_fract_y
_atom_site_fract_z
Fe1 Fe 0.500 0.500 0.000
Ru1 Ru 0.750 0.250 0.500
Zn1 Zn 0.000 0.000 0.000
Zn2 Zn 0.250 0.750 0.500
# Formation energy in eV per formula unit: 0.15
# Calculated volume in Å³/f.u.: 54

---

# 2
# ZnFeRu, optimized geometry, DFT GGA-PBE
data_ZnFeRu
_symmetry_space_group_name_H-M 'P 1'
_symmetry_Int_Tables_number 1
_symmetry_space_group_name_Hall 'P 1'
_cell_length_a 3.937
_cell_length_b 3.937
_cell_length_c 3.937
_cell_angle_alpha 60.00
_cell_angle_beta 60.00
_cell_angle_gamma 60.00
loop_
_atom_site_label
_atom_site_type_symbol
_atom_site_fract_x
_atom_site_fract_y
_atom_site_fract_z
Fe1 Fe 0.750 0.750 0.750
Ru1 Ru 0.000 0.000 0.000
Zn1 Zn 0.500 0.500 0.500
# Formation energy in eV per formula unit: 1.11
# Calculated volume in Å³/f.u.: 43

---

# 3
# ZnFeRu, optimized geometry, DFT GGA-PBE
data_ZnFeRu
_symmetry_space_group_name_H-M 'P 1'
_symmetry_Int_Tables_number 1
_symmetry_space_group_name_Hall 'P 1'
_cell_length_a 6.761
_cell_length_b 6.563
_cell_length_c 2.618
_cell_angle_alpha 82.96
_cell_angle_beta 74.44
_cell_angle_gamma 22.60
loop_
_atom_site_label
_atom_site_type_symbol
_atom_site_fract_x
_atom_site_fract_y
_atom_site_fract_z
Fe1 Fe 0.999 0.999 0.001
Ru1 Ru 0.337 0.337 0.663
Zn1 Zn 0.664 0.664 0.336
# Formation energy in eV per formula unit: 0.50
# Calculated volume in Å³/f.u.: 40

---

# 4
# Zn2FeRu, optimized geometry, DFT GGA-PBE
data_Zn2FeRu
_symmetry_space_group_name_H-M 'P 1'
_symmetry_Int_Tables_number 1
_symmetry_space_group_name_Hall 'P 1'
_cell_length_a 3.837
_cell_length_b 2.682
_cell_length_c 5.959
_cell_angle_alpha 62.66
_cell_angle_beta 90.00
_cell_angle_gamma 90.00
loop_
_atom_site_label
_atom_site_type_symbol
_atom_site_fract_x
_atom_site_fract_y
_atom_site_fract_z
Fe1 Fe 0.500 0.250 0.250
Ru1 Ru 0.500 0.750 0.750
Zn1 Zn 0.000 0.997 0.002
Zn2 Zn 0.000 0.503 0.498
# Formation energy in eV per formula unit: 0.28
# Calculated volume in Å³/f.u.: 54

---

# 5
# Zn2FeRu, optimized geometry, DFT GGA-PBE
data_Zn2FeRu
_symmetry_space_group_name_H-M 'P 1'
_symmetry_Int_Tables_number 1
_symmetry_space_group_name_Hall 'P 1'
_cell_length_a 3.744
_cell_length_b 3.745
_cell_length_c 3.853
_cell_angle_alpha 90.00
_cell_angle_beta 90.00
_cell_angle_gamma 90.00
loop_
_atom_site_label
_atom_site_type_symbol
_atom_site_fract_x
_atom_site_fract_y
_atom_site_fract_z
Fe1 Fe 0.500 0.000 0.500
Ru1 Ru 0.000 0.500 0.500
Zn1 Zn 0.000 0.000 0.000
Zn2 Zn 0.500 0.500 0.000
# Formation energy in eV per formula unit: 0.03
# Calculated volume in Å³/f.u.: 54

---

# 6
# ZnFeRu, optimized geometry, DFT GGA-PBE
data_ZnFeRu
_symmetry_space_group_name_H-M 'P 1'
_symmetry_Int_Tables_number 1
_symmetry_space_group_name_Hall 'P 1'
_cell_length_a 2.677
_cell_length_b 2.677
_cell_length_c 6.390
_cell_angle_alpha 90.00
_cell_angle_beta 90.00
_cell_angle_gamma 120.00
loop_
_atom_site_label
_atom_site_type_symbol
_atom_site_fract_x
_atom_site_fract_y
_atom_site_fract_z
Fe1 Fe 0.000 0.000 0.007
Ru1 Ru 0.667 0.333 0.319
Zn1 Zn 0.333 0.667 0.674
# Formation energy in eV per formula unit: 0.20
# Calculated volume in Å³/f.u.: 40

---

# 7
# ZnFe2Ru, optimized geometry, DFT GGA-PBE
data_ZnFe2Ru
_symmetry_space_group_name_H-M 'P 1'
_symmetry_Int_Tables_number 1
_symmetry_space_group_name_Hall 'P 1'
_cell_length_a 4.154
_cell_length_b 2.563
_cell_length_c 5.033
_cell_angle_alpha 77.33
_cell_angle_beta 90.00
_cell_angle_gamma 90.00
loop_
_atom_site_label
_atom_site_type_symbol
_atom_site_fract_x
_atom_site_fract_y
_atom_site_fract_z
Fe1 Fe 0.000 0.993 0.003
Fe2 Fe 0.000 0.507 0.497
Ru1 Ru 0.500 0.250 0.250
Zn1 Zn 0.500 0.750 0.750
# Formation energy in eV per formula unit: 0.57
# Calculated volume in Å³/f.u.: 52

---

# 8
# Zn2FeRu, optimized geometry, DFT GGA-PBE
data_Zn2FeRu
_symmetry_space_group_name_H-M 'P 1'
_symmetry_Int_Tables_number 1
_symmetry_space_group_name_Hall 'P 1'
_cell_length_a 2.709
_cell_length_b 2.709
_cell_length_c 7.267
_cell_angle_alpha 90.00
_cell_angle_beta 90.00
_cell_angle_gamma 90.00
loop_
_atom_site_label
_atom_site_type_symbol
_atom_site_fract_x
_atom_site_fract_y
_atom_site_fract_z
Fe1 Fe 0.000 0.000 0.512
Ru1 Ru 0.500 0.500 0.726
Zn1 Zn 0.000 0.000 0.991
Zn2 Zn 0.500 0.500 0.272
# Formation energy in eV per formula unit: 0.07
# Calculated volume in Å³/f.u.: 53

---

# 9
# ZnFe2Ru2, optimized geometry, DFT GGA-PBE
data_ZnFe2Ru2
_symmetry_space_group_name_H-M 'P 1'
_symmetry_Int_Tables_number 1
_symmetry_space_group_name_Hall 'P 1'
_cell_length_a 7.011
_cell_length_b 7.011
_cell_length_c 2.666
_cell_angle_alpha 90.00
_cell_angle_beta 90.00
_cell_angle_gamma 90.00
loop_
_atom_site_label
_atom_site_type_symbol
_atom_site_fract_x
_atom_site_fract_y
_atom_site_fract_z
Ru1 Ru 0.175 0.675 0.500
Ru2 Ru 0.675 0.825 0.500
Ru3 Ru 0.825 0.325 0.500
Ru4 Ru 0.325 0.175 0.500
Zn1 Zn 0.000 0.000 0.000
Zn2 Zn 0.500 0.500 0.000
Fe1 Fe 0.382 0.882 0.000
Fe2 Fe 0.882 0.618 0.000
Fe3 Fe 0.618 0.118 0.000
Fe4 Fe 0.118 0.382 0.000
# Formation energy in eV per formula unit: 1.25
# Calculated volume in Å³/f.u.: 66

---

# 10
# Zn4FeRu, optimized geometry, DFT GGA-PBE
data_Zn4FeRu
_symmetry_space_group_name_H-M 'P 1'
_symmetry_Int_Tables_number 1
_symmetry_space_group_name_Hall 'P 1'
_cell_length_a 4.884
_cell_length_b 4.884
_cell_length_c 4.884
_cell_angle_alpha 60.00
_cell_angle_beta 60.00
_cell_angle_gamma 60.00
loop_
_atom_site_label
_atom_site_type_symbol
_atom_site_fract_x
_atom_site_fract_y
_atom_site_fract_z
Zn1 Zn 0.875 0.375 0.375
Zn2 Zn 0.375 0.375 0.875
Zn3 Zn 0.375 0.875 0.375
Zn4 Zn 0.375 0.375 0.375
Fe1 Fe 0.750 0.750 0.750
Ru1 Ru 0.000 0.000 0.000
# Formation energy in eV per formula unit: 0.69
# Calculated volume in Å³/f.u.: 82

---

# 11
# Zn2FeRu, optimized geometry, DFT GGA-PBE
data_Zn2FeRu
_symmetry_space_group_name_H-M 'P 1'
_symmetry_Int_Tables_number 1
_symmetry_space_group_name_Hall 'P 1'
_cell_length_a 3.133
_cell_length_b 3.133
_cell_length_c 5.485
_cell_angle_alpha 90.00
_cell_angle_beta 90.00
_cell_angle_gamma 90.00
loop_
_atom_site_label
_atom_site_type_symbol
_atom_site_fract_x
_atom_site_fract_y
_atom_site_fract_z
Fe1 Fe 0.500 0.500 0.250
Ru1 Ru 0.500 0.500 0.750
Zn1 Zn 0.000 0.000 0.002
Zn2 Zn 0.000 0.000 0.498
# Formation energy in eV per formula unit: 0.32
# Calculated volume in Å³/f.u.: 54

---

# 12
# Zn2FeRu, optimized geometry, DFT GGA-PBE
data_Zn2FeRu
_symmetry_space_group_name_H-M 'P 1'
_symmetry_Int_Tables_number 1
_symmetry_space_group_name_Hall 'P 1'
_cell_length_a 8.735
_cell_length_b 8.735
_cell_length_c 8.735
_cell_angle_alpha 17.79
_cell_angle_beta 17.79
_cell_angle_gamma 17.79
loop_
_atom_site_label
_atom_site_type_symbol
_atom_site_fract_x
_atom_site_fract_y
_atom_site_fract_z
Fe1 Fe 0.250 0.250 0.250
Ru1 Ru 0.750 0.750 0.750
Zn1 Zn 0.999 0.999 0.999
Zn2 Zn 0.501 0.501 0.501
# Formation energy in eV per formula unit: 0.32
# Calculated volume in Å³/f.u.: 54

---

# 13
# ZnFe2Ru, optimized geometry, DFT GGA-PBE
data_ZnFe2Ru
_symmetry_space_group_name_H-M 'P 1'
_symmetry_Int_Tables_number 1
_symmetry_space_group_name_Hall 'P 1'
_cell_length_a 4.590
_cell_length_b 4.590
_cell_length_c 2.614
_cell_angle_alpha 90.01
_cell_angle_beta 90.01
_cell_angle_gamma 111.07
loop_
_atom_site_label
_atom_site_type_symbol
_atom_site_fract_x
_atom_site_fract_y
_atom_site_fract_z
Fe1 Fe 0.000 0.000 0.000
Fe2 Fe 0.500 0.500 0.000
Ru1 Ru 0.500 0.000 0.500
Zn1 Zn 0.000 0.500 0.500
# Formation energy in eV per formula unit: 0.34
# Calculated volume in Å³/f.u.: 51

---

# 14
# ZnFeRu, optimized geometry, DFT GGA-PBE
data_ZnFeRu
_symmetry_space_group_name_H-M 'P 1'
_symmetry_Int_Tables_number 1
_symmetry_space_group_name_Hall 'P 1'
_cell_length_a 5.642
_cell_length_b 5.642
_cell_length_c 5.642
_cell_angle_alpha 152.22
_cell_angle_beta 152.22
_cell_angle_gamma 39.69
loop_
_atom_site_label
_atom_site_type_symbol
_atom_site_fract_x
_atom_site_fract_y
_atom_site_fract_z
Fe1 Fe 0.993 0.993 0.000
Ru1 Ru 0.345 0.345 0.000
Zn1 Zn 0.661 0.661 0.000
# Formation energy in eV per formula unit: 0.17
# Calculated volume in Å³/f.u.: 39

---

# 15
# ZnFe2Ru, optimized geometry, DFT GGA-PBE
data_ZnFe2Ru
_symmetry_space_group_name_H-M 'P 1'
_symmetry_Int_Tables_number 1
_symmetry_space_group_name_Hall 'P 1'
_cell_length_a 8.675
_cell_length_b 8.675
_cell_length_c 8.675
_cell_angle_alpha 17.40
_cell_angle_beta 17.40
_cell_angle_gamma 17.40
loop_
_atom_site_label
_atom_site_type_symbol
_atom_site_fract_x
_atom_site_fract_y
_atom_site_fract_z
Fe1 Fe 0.999 0.999 0.999
Fe2 Fe 0.501 0.501 0.501
Ru1 Ru 0.250 0.250 0.250
Zn1 Zn 0.750 0.750 0.750
# Formation energy in eV per formula unit: 0.48
# Calculated volume in Å³/f.u.: 51

---

# 16
# ZnFe2Ru, optimized geometry, DFT GGA-PBE
data_ZnFe2Ru
_symmetry_space_group_name_H-M 'P 1'
_symmetry_Int_Tables_number 1
_symmetry_space_group_name_Hall 'P 1'
_cell_length_a 4.486
_cell_length_b 4.486
_cell_length_c 4.486
_cell_angle_alpha 130.34
_cell_angle_beta 130.34
_cell_angle_gamma 72.87
loop_
_atom_site_label
_atom_site_type_symbol
_atom_site_fract_x
_atom_site_fract_y
_atom_site_fract_z
Fe1 Fe 0.000 0.000 0.000
Fe2 Fe 0.250 0.750 0.500
Ru1 Ru 0.500 0.500 0.000
Zn1 Zn 0.750 0.250 0.500
# Formation energy in eV per formula unit: 0.44
# Calculated volume in Å³/f.u.: 51

---

# 17
# ZnFe2Ru, optimized geometry, DFT GGA-PBE
data_ZnFe2Ru
_symmetry_space_group_name_H-M 'P 1'
_symmetry_Int_Tables_number 1
_symmetry_space_group_name_Hall 'P 1'
_cell_length_a 4.545
_cell_length_b 4.545
_cell_length_c 4.546
_cell_angle_alpha 78.92
_cell_angle_beta 78.92
_cell_angle_gamma 33.82
loop_
_atom_site_label
_atom_site_type_symbol
_atom_site_fract_x
_atom_site_fract_y
_atom_site_fract_z
Fe1 Fe 0.005 0.005 0.997
Fe2 Fe 0.749 0.749 0.749
Ru1 Ru 0.494 0.494 0.512
Zn1 Zn 0.252 0.252 0.242
# Formation energy in eV per formula unit: 0.37
# Calculated volume in Å³/f.u.: 51

---

# 18
# ZnFeRu, optimized geometry, DFT GGA-PBE
data_ZnFeRu
_symmetry_space_group_name_H-M 'P 1'
_symmetry_Int_Tables_number 1
_symmetry_space_group_name_Hall 'P 1'
_cell_length_a 3.883
_cell_length_b 3.786
_cell_length_c 10.963
_cell_angle_alpha 90.00
_cell_angle_beta 90.00
_cell_angle_gamma 90.00
loop_
_atom_site_label
_atom_site_type_symbol
_atom_site_fract_x
_atom_site_fract_y
_atom_site_fract_z
Ru1 Ru 0.250 0.000 0.905
Ru2 Ru 0.750 0.500 0.595
Ru3 Ru 0.750 0.000 0.095
Ru4 Ru 0.250 0.500 0.405
Fe1 Fe 0.750 0.500 0.249
Fe2 Fe 0.250 0.000 0.251
Fe3 Fe 0.750 0.000 0.749
Fe4 Fe 0.250 0.500 0.751
Zn1 Zn 0.250 0.000 0.583
Zn2 Zn 0.250 0.500 0.083
Zn3 Zn 0.750 0.000 0.417
Zn4 Zn 0.750 0.500 0.917
# Formation energy in eV per formula unit: 0.26
# Calculated volume in Å³/f.u.: 40

---

# 19
# ZrFe2Ru, optimized geometry, DFT GGA-PBE
data_ZrFe2Ru
_symmetry_space_group_name_H-M 'P 1'
_symmetry_Int_Tables_number 1
_symmetry_space_group_name_Hall 'P 1'
_cell_length_a 5.091
_cell_length_b 5.091
_cell_length_c 4.328
_cell_angle_alpha 64.89
_cell_angle_beta 64.89
_cell_angle_gamma 36.23
loop_
_atom_site_label
_atom_site_type_symbol
_atom_site_fract_x
_atom_site_fract_y
_atom_site_fract_z
Fe1 Fe 0.988 0.988 0.012
Fe2 Fe 0.254 0.254 0.246
Ru1 Ru 0.508 0.508 0.492
Zr1 Zr 0.750 0.750 0.750
# Formation energy in eV per formula unit: -0.16
# Calculated volume in Å³/f.u.: 59

---

# 20
# ZrFe2Ru, optimized geometry, DFT GGA-PBE
data_ZrFe2Ru
_symmetry_space_group_name_H-M 'P 1'
_symmetry_Int_Tables_number 1
_symmetry_space_group_name_Hall 'P 1'
_cell_length_a 3.157
_cell_length_b 3.157
_cell_length_c 5.976
_cell_angle_alpha 90.00
_cell_angle_beta 90.00
_cell_angle_gamma 90.01
loop_
_atom_site_label
_atom_site_type_symbol
_atom_site_fract_x
_atom_site_fract_y
_atom_site_fract_z
Fe1 Fe 0.000 0.000 0.022
Fe2 Fe 0.000 0.000 0.478
Ru1 Ru 0.500 0.500 0.250
Zr1 Zr 0.500 0.500 0.750
# Formation energy in eV per formula unit: 0.18
# Calculated volume in Å³/f.u.: 60